# 1
# LiSc4Ag

LiSc4Ag after structural relaxation (PBE, Alexandria).

Summary:
Volume   23.7 Å³/atom
Spin magnetization   0.00 μB per cell
Formation energy from the elements   384 meV per atom

abc: 8.291 8.291 8.291
angles: 90.00 90.00 90.00
Space group F-43m (No. 216)
Inequivalent atoms, fractional coordinates:
Li 0.000 0.000 0.000 (multiplicity 4)
Sc 0.124 0.124 0.624 (multiplicity 16)
Ag 0.250 0.250 0.250 (multiplicity 4)



# 2
# Li2ScAg

Li2ScAg after structural relaxation (PBE, Alexandria).

Summary:
Volume   18.3 Å³/atom
Spin magnetization   0.00 μB per cell
Formation energy from the elements   -38 meV per atom
Excess energy over the best structure of this formula in the dataset   33 meV per atom

abc: 4.206 4.367 7.985
angles: 90.00 90.00 90.00
Space group Imm2 (No. 44)
Inequivalent atoms, fractional coordinates:
Li 0.000 0.000 0.000 (multiplicity 2)
Li 0.000 0.500 0.254 (multiplicity 2)
Sc 0.000 0.500 0.754 (multiplicity 2)
Ag 0.000 0.000 0.507 (multiplicity 2)



# 3
# Li2ScAg

Li2ScAg after structural relaxation (PBE, Alexandria).

Summary:
Volume   19.4 Å³/atom
Spin magnetization   0.11 μB per cell
Formation energy from the elements   39 meV per atom
Excess energy over the best structure of this formula in the dataset   109 meV per atom

abc: 3.0511 3.0511 28.8960
angles: 90.00 90.00 120.00
Space group R3m (No. 160, hexagonal axes)
Inequivalent atoms, fractional coordinates:
Li 0.0000 0.0000 0.0000 (multiplicity 3)
Li 0.0000 0.0000 0.1845 (multiplicity 3)
Sc 0.0000 0.0000 0.7594 (multiplicity 3)
Ag 0.0000 0.0000 0.5921 (multiplicity 3)



# 4
# Li2ScAg

Li2ScAg after structural relaxation (PBE, Alexandria).

Summary:
Volume   18.4 Å³/atom
Spin magnetization   0.14 μB per cell
Formation energy from the elements   5 meV per atom
Excess energy over the best structure of this formula in the dataset   76 meV per atom

abc: 3.356 3.356 6.531
angles: 90.00 90.00 90.00
Space group P4/mmm (No. 123)
Inequivalent atoms, fractional coordinates:
Li 0.000 0.000 0.203 (multiplicity 2)
Sc 0.500 0.500 0.500 (multiplicity 1)
Ag 0.500 0.500 0.000 (multiplicity 1)



# 5
# Li2ScAg

Li2ScAg after structural relaxation (PBE, Alexandria).

Summary:
Volume   19.9 Å³/atom
Spin magnetization   0.52 μB per cell
Formation energy from the elements   166 meV per atom
Excess energy over the best structure of this formula in the dataset   237 meV per atom

abc: 7.503 7.503 5.663
angles: 90.00 90.00 90.00
Space group I-42d (No. 122)
Inequivalent atoms, fractional coordinates:
Li 0.211 0.750 0.125 (multiplicity 8)
Sc 0.000 0.000 0.500 (multiplicity 4)
Ag 0.000 0.000 0.000 (multiplicity 4)



# 6
# Li2ScAg8

Li2ScAg8 after structural relaxation (PBE, Alexandria).

Summary:
Volume   17.6 Å³/atom
Spin magnetization   0.00 μB per cell
Formation energy from the elements   -155 meV per atom

abc: 14.889 4.094 6.632
angles: 90.00 107.12 90.00
Space group C2/m (No. 12)
Inequivalent atoms, fractional coordinates:
Li 0.221 0.000 0.143 (multiplicity 4)
Sc 0.000 0.500 0.500 (multiplicity 2)
Ag 0.045 0.000 0.226 (multiplicity 4)
Ag 0.097 0.500 0.960 (multiplicity 4)
Ag 0.142 0.000 0.695 (multiplicity 4)
Ag 0.183 0.500 0.415 (multiplicity 4)



- volume of number 2 (Li2ScAg)?
  18.3 Å³/atom